No. 1
Compound: Cs2KScBr6
Source: the Alexandria database
Functional: meta-GGA SCAN
Structure: PBEsol geometry

Summary:
E_form (uncorrected) = -2.01 eV/atom
E = -23.501 eV/atom
theoretical density = 3.8 Mg/m³
magnetization = 0.00 μB/f.u.
D(E_F) = 0.00 states/eV per cell

Cell and atoms, written as POSCAR:
```
Cs2KScBr6
1.0
-6.1807 -2.7929 -4.3131
0.1555 -7.5155 -2.8456
-4.8784 -5.5778 3.1134
Cs K Br Sc
2 1 6 1
Direct
0.7500 0.7500 0.7500
0.2500 0.2500 0.2500
0.5000 0.5000 0.5000
0.2305 0.7695 0.7695
0.7695 0.2305 0.2305
0.7695 0.2305 0.7695
0.2305 0.2305 0.7695
0.7695 0.7695 0.2305
0.2305 0.7695 0.2305
0.0000 0.0000 0.0000
```

No. 2
Compound: Cs2KTlBr6
Source: the Alexandria database
Functional: meta-GGA SCAN
Structure: PBEsol geometry

Summary:
E_form (uncorrected) = -1.42 eV/atom
E = -28.723 eV/atom
theoretical density = 4.2 Mg/m³
magnetization = 0.00 μB/f.u.
D(E_F) = 0.00 states/eV per cell

Cell and atoms, written as POSCAR:
```
Cs2KTlBr6
1.0
8.1814 0.0000 0.0000
4.0907 7.0853 0.0000
4.0907 2.3618 6.6800
Br Tl Cs K
6 1 2 1
Direct
0.2642 0.7358 0.7358
0.7358 0.2642 0.2642
0.2642 0.2642 0.7358
0.2642 0.7358 0.2642
0.7358 0.2642 0.7358
0.7358 0.7358 0.2642
0.5000 0.5000 0.5000
0.2500 0.2500 0.2500
0.7500 0.7500 0.7500
0.0000 0.0000 0.0000
```

No. 3
Compound: CsLaBr2
Source: the Alexandria database
Functional: meta-GGA SCAN
Structure: PBEsol geometry

Summary:
E_form (uncorrected) = -1.46 eV/atom
E = -31.416 eV/atom
theoretical density = 4.3 Mg/m³
magnetization = 0.00 μB/f.u.
D(E_F) = 1.12 states/eV per cell

Cell and atoms, written as POSCAR:
```
CsLaBr2
1.0
4.2961 0.0000 0.0000
2.1481 3.7206 0.0000
2.1481 1.2402 10.5103
Br Cs La
2 1 1
Direct
0.9088 0.9088 0.2735
0.0912 0.0912 0.7265
0.5000 0.5000 0.5000
0.0000 0.0000 0.0000
```

Question: theoretical density of number 2 (Cs2KTlBr6)?
Answer: 4.2 Mg/m³